## Tb6PmSm3Dy2 (PBE)

Data for a relaxed structure of Tb6PmSm3Dy2.

Lattice parameters (Å, degrees): 6.2027 6.2027 11.8657 94.98 94.98 119.97
Fractional positions:
Tb 0.9169 0.5831 0.7512
Tb 0.7492 0.7492 0.2487
Tb 0.0831 0.4169 0.2488
Tb 0.5831 0.9169 0.7512
Tb 0.2508 0.2508 0.7513
Tb 0.4169 0.0831 0.2488
Pm 0.0000 0.0000 0.0000
Sm 0.1669 0.8331 0.5000
Sm 0.8331 0.1669 0.5000
Sm 0.5000 0.5000 0.5000
Dy 0.3332 0.6668 0.0000
Dy 0.6668 0.3332 0.0000

Values from the calculation:
DOS at the Fermi energy: 15.2 states/eV/cell
ΔH_f (0 K): 15.7 kJ/mol of formula units
VASP energy: -55.73 eV/cell
space-group type: No. 12
magnetization: 0.000 μB per atom